# Nd2Ge3Ir2, optimized geometry, DFT PBE
# DOS(E_F)   0.546 states/eV/atom
# Formation energy from the elements   -0.6448 eV/atom
# Calculated total energy   -6.52 eV per atom
# Volume   20.1 Å³/atom
# Distance to the lowest polymorph of the same formula   67.5 meV per atom
data_Nd2Ge3Ir2
_space_group_name_H-M_alt 'P 1'
_space_group_IT_number 1
_space_group_name_Hall 'P 1'
_cell_length_a 4.238
_cell_length_b 5.692
_cell_length_c 7.015
_cell_angle_alpha 114.24
_cell_angle_beta 90.00
_cell_angle_gamma 111.85
loop_
_atom_site_label
_atom_site_fract_x
_atom_site_fract_y
_atom_site_fract_z
_atom_site_occupancy
Nd1 0.852 0.704 0.225 1
Nd2 0.148 0.296 0.775 1
Ge1 0.500 0.000 0.000 1
Ge2 0.628 0.257 0.441 1
Ge3 0.372 0.743 0.559 1
Ir1 0.864 0.729 0.779 1
Ir2 0.136 0.271 0.221 1